Entry 1:
Tb3Nd4Dy2 after structural relaxation. Source: the Alexandria database, functional PBE.

POSCAR file:
```
Tb3Nd4Dy2
1.0
-0.879 -3.196 1.555
-0.702 -0.919 -6.597
11.249 -6.384 -6.765
Nd Tb Dy
4 3 2
Direct
0.891 0.783 0.392
0.350 0.700 0.872
0.109 0.217 0.608
0.650 0.300 0.128
0.000 0.000 0.000
0.620 0.240 0.388
0.380 0.760 0.612
0.660 0.319 0.790
0.340 0.681 0.210
```

Results
* E_form: 87 meV/atom
* relative energy among the computed polymorphs: 33.6 meV per atom

---

Entry 2:
TbNd7Dy3 after structural relaxation. Source: the Alexandria database, functional PBE.

POSCAR file:
```
TbNd7Dy3
1.0
5.917 -0.181 -0.232
-2.675 8.086 1.093
-2.675 -0.900 8.110
Dy Nd Tb
3 7 1
Direct
0.000 0.204 0.796
0.500 0.000 0.000
0.000 0.796 0.204
0.306 0.597 0.016
0.790 0.791 0.791
0.306 0.016 0.597
0.000 0.500 0.500
0.694 0.984 0.403
0.210 0.209 0.209
0.694 0.403 0.984
0.500 0.500 0.500
```

Results
* E_form: 226 meV/atom
* relative energy among the computed polymorphs: 44.2 meV per atom

---

Entry 3:
TbNd4Dy after structural relaxation. Source: the Alexandria database, functional PBE.

POSCAR file:
```
TbNd4Dy
1.0
3.494 0.000 0.000
0.000 8.304 -0.006
0.000 0.008 8.304
Nd Tb Dy
4 1 1
Direct
0.500 0.261 0.739
0.000 0.761 0.761
0.000 0.239 0.239
0.500 0.739 0.261
0.000 0.500 0.500
0.500 0.000 0.000
```

Results
* E_form: 609 meV/atom
* relative energy among the computed polymorphs: 591.5 meV per atom

---

Entry 4:
TbNd5Dy4 after structural relaxation. Source: the Alexandria database, functional PBE.

POSCAR file:
```
TbNd5Dy4
1.0
-0.790 3.128 1.600
3.051 -3.967 9.265
9.146 0.990 -1.473
Dy Nd Tb
4 5 1
Direct
0.682 0.087 0.365
0.318 0.913 0.635
0.046 0.237 0.091
0.954 0.763 0.909
0.858 0.230 0.716
0.811 0.598 0.621
0.500 0.500 0.000
0.189 0.402 0.379
0.142 0.770 0.284
0.500 0.000 0.000
```

Results
* E_form: 145 meV/atom
* relative energy among the computed polymorphs: 128.9 meV per atom

---

Entry 5:
Tb14NdDy after structural relaxation. Source: the Alexandria database, functional PBE.

POSCAR file:
```
Tb14NdDy
1.0
7.108 -0.858 0.000
-2.807 6.586 0.000
0.000 0.000 11.528
Tb Dy Nd
14 1 1
Direct
0.042 0.958 0.000
0.708 0.792 0.500
0.875 0.625 0.249
0.208 0.292 0.500
0.375 0.125 0.751
0.875 0.125 0.249
0.375 0.625 0.750
0.042 0.458 0.000
0.375 0.625 0.250
0.875 0.125 0.751
0.542 0.458 0.000
0.542 0.958 0.000
0.875 0.625 0.751
0.375 0.125 0.249
0.208 0.792 0.500
0.708 0.292 0.500
```

Results
* E_form: 1 meV/atom

---

Entry 6:
TbNd6Dy2 after structural relaxation. Source: the Alexandria database, functional PBE.

POSCAR file:
```
TbNd6Dy2
1.0
3.669 0.000 0.001
0.000 9.165 4.177
-0.001 1.675 9.932
Nd Dy Tb
6 2 1
Direct
0.000 0.511 0.159
0.000 0.841 0.489
0.000 0.489 0.841
0.000 0.159 0.511
0.500 0.317 0.683
0.500 0.683 0.317
0.500 0.178 0.178
0.500 0.822 0.822
0.000 0.000 0.000
```

Results
* E_form: 128 meV/atom
* relative energy among the computed polymorphs: 46.1 meV per atom

---

Entry 7:
Tb7NdDy2 after structural relaxation. Source: the Alexandria database, functional PBE.

POSCAR file:
```
Tb7NdDy2
1.0
-2.461 -3.552 -4.415
1.622 0.048 10.573
-7.246 3.068 -1.311
Tb Nd Dy
7 1 2
Direct
0.500 0.500 0.000
0.198 0.599 0.799
0.899 0.699 0.599
0.300 0.900 0.201
0.101 0.301 0.401
0.700 0.100 0.799
0.802 0.401 0.201
0.000 0.000 0.000
0.401 0.200 0.599
0.599 0.800 0.401
```

Results
* E_form: 16 meV/atom
* relative energy among the computed polymorphs: 0.0 meV per atom

---

Entry 8:
Tb12Nd2Dy5 after structural relaxation. Source: the Alexandria database, functional PBE.

POSCAR file:
```
Tb12Nd2Dy5
1.0
6.582 -0.240 1.546
-4.350 9.683 -7.521
1.913 -2.459 11.963
Tb Nd Dy
12 2 5
Direct
0.851 0.592 0.359
0.520 0.614 0.928
0.149 0.408 0.641
0.480 0.386 0.072
0.388 0.968 0.193
0.710 0.389 0.523
0.128 0.967 0.719
0.872 0.033 0.281
0.073 0.357 0.944
0.290 0.611 0.477
0.612 0.032 0.807
0.927 0.643 0.056
0.086 0.814 0.884
0.914 0.186 0.116
0.000 0.000 0.500
0.586 0.218 0.680
0.414 0.782 0.320
0.395 0.252 0.238
0.605 0.748 0.762
```

Results
* E_form: 87 meV/atom
* relative energy among the computed polymorphs: 0.0 meV per atom

---

| no. | calculated total energy (eV per cell) |
| --- | --- |
| 1 | -41.39 |
| 2 | -49.33 |
| 3 | -24.65 |
| 4 | -45.43 |
| 5 | -74.18 |
| 6 | -41.29 |
| 7 | -46.23 |
| 8 | -86.46 |